Record 1
## GeSBr (PBE)

Data for a geometry-optimized GeSBr structure.

a = 3.6149 Å, b = 5.9544 Å, c = 9.7677 Å
α = 80.57°, β = 79.40°, γ = 89.99°
Closest atoms and distances in Å follow each position.
Space group P1 (No. 1)
One atom of each set of equivalent atoms:
Ge 0.0000 0.0000 0.0000 [1 per cell]  1 Br 2.41, 2 S 2.52
Ge 0.3330 0.8601 0.3360 [1 per cell]  3 S 2.26-2.28, 1 Br 2.31
S 0.4270 0.1422 0.1468 [1 per cell]  3 Ge 2.26-2.52
S 0.8349 0.6276 0.3322 [1 per cell]  2 Ge 2.28
Br 0.0815 0.3517 0.8349 [1 per cell]  1 Ge 2.41
Br 0.2336 0.0333 0.5343 [1 per cell]  1 Ge 2.31

***

Record 2
## Ac2HgS4 (PBE)

Data for a geometry-optimized Ac2HgS4 structure.

a = 17.2592 Å, b = 4.6938 Å, c = 12.5614 Å
α = 90.00°, β = 118.93°, γ = 90.00°
Closest atoms and distances in Å follow each position.
Space group C2/m (No. 12)
One atom of each set of equivalent atoms:
Ac 0.1219 0.0000 0.4544 [4 per cell]  7 S 2.95-3.10
Ac 0.1613 0.5000 0.7973 [4 per cell]  7 S 2.90-3.15
Hg 0.1265 0.5000 0.1740 [4 per cell]  2 S 2.35-2.36
S 0.0405 0.5000 0.2724 [4 per cell]  1 Hg 2.35
S 0.0756 0.0000 0.6518 [4 per cell]  4 Ac 2.90-3.00
S 0.2065 0.5000 0.0661 [4 per cell]  1 Hg 2.36
S 0.2314 0.5000 0.6162 [4 per cell]  4 Ac 3.05-3.08

***

Record 3
## Ga2TcHg (PBE)

Data for a geometry-optimized Ga2TcHg structure.

Formation energy from the elements ... 0.45 eV/atom

a = 7.2871 Å, b = 7.2871 Å, c = 5.7045 Å
α = 90.00°, β = 90.00°, γ = 90.00°
Closest atoms and distances in Å follow each position.
Space group I-42d (No. 122)
One atom of each set of equivalent atoms:
Ga 0.2226 0.2500 0.1250 [8 per cell]  2 Tc 2.54, 2 Hg 2.81
Tc 0.0000 0.0000 0.0000 [4 per cell]  4 Ga 2.54
Hg 0.0000 0.0000 0.5000 [4 per cell]  4 Ga 2.81, 2 Tc 2.85

***

no.,calculated total energy (eV/atom),magnetic moment (μB per formula unit)
1,-3.861,0.000
2,-5.189,0.000
3,-3.729,1.000